Na2SrCoO4 | PBE with a Hubbard U | optimized geometry

Computed properties:
The value obtained for the total energy is -5.243 eV/atom. Its density is 3.82 g/cm³. The space group is I-4 (82).

```
data_Na2SrCoO4
_chemical_formula_sum 'Na2 Sr1 Co1 O4'
_cell_length_a 5.2854
_cell_length_b 5.2854
_cell_length_c 5.2854
_cell_angle_alpha 114.38
_cell_angle_beta 114.38
_cell_angle_gamma 100.05
_space_group_name_H-M_alt 'P 1'
_space_group_IT_number 1
loop_
_space_group_symop_operation_xyz
'x,y,z'
loop_
_atom_site_label
_atom_site_type_symbol
_atom_site_fract_x
_atom_site_fract_y
_atom_site_fract_z
Na1 Na 0.0000 0.0000 0.0000
Na2 Na 0.7500 0.2500 0.5000
Sr1 Sr 0.2500 0.7500 0.5000
Co1 Co 0.5000 0.5000 0.0000
O1 O 0.2178 0.6516 0.9717
O2 O 0.3484 0.3201 0.5662
O3 O 0.6799 0.2461 0.0283
O4 O 0.7539 0.7822 0.4338
```